(1)
Li6ZnIr2 | GGA-PBE | optimized geometry

Cell and atoms, written as extended XYZ:
```
9
Lattice="4.978 -0.050 -0.487 -0.560 4.931 -0.609 -0.060 0.049 5.000" Properties=species:S:1:pos:R:3 pbc="T T T"
Li 0.518 2.497 3.760
Li 4.005 0.824 1.993
Li 3.840 2.433 0.144
Li 2.344 0.855 3.802
Li 0.353 4.107 1.911
Li 2.014 4.076 0.102
Zn 0.000 0.000 0.000
Ir 2.906 3.288 2.603
Ir 1.452 1.642 1.300
```

Calculated values
**Calculated total energy**: -32.02 eV/cell
**Space-group type**: No. 166
**DFT formation energy**: -0.1713 eV/atom

---

(2)
LiZnIr4 | GGA-PBE | optimized geometry

Cell and atoms, written as extended XYZ:
```
6
Lattice="0.000 3.654 3.654 3.654 0.000 3.654 3.654 3.654 0.000" Properties=species:S:1:pos:R:3 pbc="T T T"
Li 5.481 5.481 5.481
Zn 0.000 0.000 0.000
Ir 2.741 4.567 4.567
Ir 4.567 4.567 2.741
Ir 4.567 2.741 4.567
Ir 2.741 2.741 2.741
```

Calculated values
**Calculated total energy**: -37.42 eV/cell
**Space-group type**: No. 216
**DFT formation energy**: 0.2026 eV/atom

---

(3)
Li2ZnIr2 | GGA-PBE | optimized geometry

Cell and atoms, written as extended XYZ:
```
5
Lattice="-2.227 -0.714 5.094 -4.265 3.090 1.918 1.508 -2.960 -4.514" Properties=species:S:1:pos:R:3 pbc="T T T"
Li -3.881 1.420 4.191
Li -2.612 0.956 2.821
Zn 0.000 0.000 0.000
Ir -3.001 0.659 0.455
Ir -1.983 -1.243 2.043
```

Calculated values
**Calculated total energy**: -21.28 eV/cell
**Space-group type**: No. 139
**DFT formation energy**: 0.3083 eV/atom

---

(4)
LiZn6Ir | GGA-PBE | optimized geometry

Cell and atoms, written as extended XYZ:
```
8
Lattice="5.123 0.637 0.720 0.073 5.162 0.720 0.073 0.082 5.211" Properties=species:S:1:pos:R:3 pbc="T T T"
Li 2.635 2.940 3.325
Zn 0.837 2.814 1.289
Zn 0.837 0.934 2.951
Zn 4.432 3.065 5.362
Zn 2.563 4.740 5.362
Zn 4.432 4.945 3.700
Zn 2.706 1.140 1.289
Ir 0.000 0.000 0.000
```

Calculated values
**Calculated total energy**: -18.23 eV/cell
**Space-group type**: No. 166
**DFT formation energy**: 0.0234 eV/atom

---

(5)
LiZnIr | GGA-PBE | optimized geometry

Cell and atoms, written as extended XYZ:
```
3
Lattice="5.958 -0.100 0.000 4.743 3.607 0.000 -5.350 -1.754 1.950" Properties=species:S:1:pos:R:3 pbc="T T T"
Ir 0.015 0.005 0.000
Li 3.627 1.189 0.000
Zn 7.058 2.313 0.000
```

Calculated values
**Calculated total energy**: -12.25 eV/cell
**Space-group type**: No. 107
**DFT formation energy**: -0.0674 eV/atom

---

(6)
Li3Zn3Ir | GGA-PBE | optimized geometry

Cell and atoms, written as extended XYZ:
```
7
Lattice="-2.586 -3.686 -2.253 2.090 -2.092 4.075 -3.453 3.225 1.740" Properties=species:S:1:pos:R:3 pbc="T T T"
Li -0.880 -2.542 1.291
Li -2.884 -0.620 0.446
Li -1.194 -0.044 2.734
Zn -1.343 -1.904 -1.146
Zn -1.789 1.649 0.907
Zn 1.060 -1.085 2.107
Ir -0.077 -0.050 0.069
```

Calculated values
**Calculated total energy**: -19.90 eV/cell
**Space-group type**: No. 160
**DFT formation energy**: -0.2107 eV/atom

---

(7)
Li5ZnIr | GGA-PBE | optimized geometry

Cell and atoms, written as extended XYZ:
```
14
Lattice="4.694 -0.503 -0.596 1.012 4.611 -0.596 1.457 1.049 9.777" Properties=species:S:1:pos:R:3 pbc="T T T"
Li 4.707 2.174 0.164
Li 2.081 2.667 5.458
Li 4.284 4.299 5.052
Li 2.565 3.223 1.848
Li 4.702 4.554 8.015
Li 2.461 0.603 0.570
Li 4.599 1.934 6.737
Li 2.880 0.859 3.532
Li 5.083 2.490 3.127
Li 2.456 2.983 8.421
Zn 4.794 0.127 1.848
Zn 2.369 5.031 6.737
Ir 0.000 0.000 0.000
Ir 0.728 0.524 4.889
```

Calculated values
**Calculated total energy**: -40.73 eV/cell
**Space-group type**: No. 15
**DFT formation energy**: -0.0946 eV/atom

---

(8)
Li12Zn3Ir5 | GGA-PBE | optimized geometry

Cell and atoms, written as extended XYZ:
```
80
Lattice="-6.666 5.021 9.582 -1.121 -12.654 0.234 12.238 3.192 1.225" Properties=species:S:1:pos:R:3 pbc="T T T"
Zn -3.890 -0.581 7.427
Zn -5.143 -4.699 8.713
Zn 4.308 -5.613 4.534
Zn 2.783 0.870 2.884
Zn -2.913 3.609 8.719
Zn -0.141 -5.228 4.046
Zn 4.592 0.786 6.995
Zn 7.364 -8.051 2.321
Zn 1.669 -5.313 8.157
Zn 0.143 1.171 6.506
Zn 9.595 0.257 2.328
Zn 8.341 -3.861 3.613
Ir 1.806 -3.320 1.592
Ir -0.560 -6.327 0.117
Ir 0.000 0.000 0.000
Ir -1.250 -0.882 3.805
Ir 2.786 4.106 5.403
Ir -3.893 -3.817 4.908
Ir 2.915 -7.666 1.833
Ir 5.569 4.976 8.287
Ir -1.111 -2.947 7.792
Ir 6.539 2.695 4.541
Ir -2.087 -7.137 6.500
Ir 2.226 -2.221 5.520
Ir -3.333 2.510 4.791
Ir 6.119 1.596 0.612
Ir 5.562 -1.496 3.249
Ir -1.117 -9.419 2.754
Ir 5.558 -4.731 0.729
Ir 1.536 3.224 9.208
Ir 5.701 -3.560 7.236
Ir 2.645 -1.122 9.449
Li -4.333 2.322 6.982
Li 2.507 -3.904 3.810
Li -3.345 0.791 9.552
Li -2.503 0.338 5.446
Li 3.373 -3.925 6.792
Li -4.881 -1.837 9.461
Li 1.763 -6.965 3.816
Li -0.043 -10.625 0.981
Li 3.377 -7.059 6.467
Li -3.379 -3.501 7.247
Li -0.987 -0.566 8.055
Li -5.979 -7.506 8.219
Li 5.143 -6.783 1.935
Li -1.768 -3.220 3.927
Li 2.971 -10.060 1.701
Li 4.167 2.341 4.501
Li 1.794 -0.937 1.319
Li -2.956 -6.017 4.565
Li -3.096 -6.265 8.493
Li -0.397 -4.209 1.268
Li 5.912 -7.615 4.875
Li 0.368 -3.673 6.050
Li -0.444 -4.047 9.816
Li 5.378 2.613 8.649
Li 4.083 -0.770 4.991
Li 4.896 -0.396 1.225
Li -0.927 -7.056 2.391
Li 7.547 1.823 2.547
Li -1.460 3.173 6.166
Li 4.849 -0.233 9.773
Li 7.408 1.575 6.475
Li 0.284 -6.784 6.540
Li 2.658 -3.505 9.722
Li 1.480 5.618 9.339
Li -0.691 2.341 9.106
Li 10.430 3.063 2.822
Li 6.219 -1.222 7.114
Li 1.075 2.616 4.573
Li 7.831 -0.941 3.793
Li 5.438 -3.876 2.986
Li 4.495 6.183 10.060
Li 2.688 2.523 7.225
Li 6.954 -4.780 5.595
Li 9.332 -2.606 1.580
Li 1.078 -0.517 4.249
Li 7.796 -5.234 1.489
Li 1.944 -0.539 7.231
Li 8.785 -6.764 4.059
```

Calculated values
**Calculated total energy**: -221.09 eV/cell
**Space-group type**: No. 230
**DFT formation energy**: 0.7911 eV/atom

---

(9)
Li2ZnIr | GGA-PBE | optimized geometry

Cell and atoms, written as extended XYZ:
```
4
Lattice="-1.047 0.230 2.984 2.369 -1.868 0.975 3.262 4.552 0.794" Properties=species:S:1:pos:R:3 pbc="T T T"
Ir 3.099 2.583 2.573
Li 3.197 4.462 0.778
Li 1.469 0.309 2.176
Zn 1.712 2.389 0.417
```

Calculated values
**Calculated total energy**: -14.45 eV/cell
**Space-group type**: No. 99
**DFT formation energy**: -0.1218 eV/atom

---

(10)
LiZn6Ir2 | GGA-PBE | optimized geometry

Cell and atoms, written as extended XYZ:
```
9
Lattice="2.148 -3.721 0.000 2.148 3.721 0.000 0.000 0.000 7.971" Properties=species:S:1:pos:R:3 pbc="T T T"
Li 0.000 0.000 3.985
Zn 2.148 -1.240 7.396
Zn 2.148 1.240 0.575
Zn 0.000 0.000 1.476
Zn 2.148 1.240 3.233
Zn 0.000 0.000 6.495
Zn 2.148 -1.240 4.738
Ir 2.148 1.240 5.878
Ir 2.148 -1.240 2.092
```

Calculated values
**Calculated total energy**: -29.30 eV/cell
**Space-group type**: No. 164
**DFT formation energy**: -0.2246 eV/atom

---

(11)
Li2ZnIr | GGA-PBE | optimized geometry

Cell and atoms, written as extended XYZ:
```
4
Lattice="-0.892 -2.147 1.254 2.216 -0.368 -1.390 4.906 2.193 7.241" Properties=species:S:1:pos:R:3 pbc="T T T"
Zn 1.889 -0.709 1.742
Ir 4.341 0.387 5.363
Li 4.830 2.159 7.129
Li 2.528 1.130 3.732
```

Calculated values
**Calculated total energy**: -14.55 eV/cell
**Space-group type**: No. 65
**DFT formation energy**: -0.1457 eV/atom

---

(12)
Li2Zn6Ir | GGA-PBE | optimized geometry

Cell and atoms, written as extended XYZ:
```
9
Lattice="4.282 0.000 0.000 -2.141 3.662 -0.564 0.000 1.230 7.937" Properties=species:S:1:pos:R:3 pbc="T T T"
Li 2.141 2.090 5.414
Li 0.000 2.802 1.960
Zn 0.000 3.610 7.162
Zn 2.141 1.282 0.211
Zn 2.141 3.875 0.822
Zn 2.141 1.697 2.887
Zn 0.000 1.016 6.552
Zn 0.000 3.195 4.486
Ir 0.000 0.615 3.969
```

Calculated values
**Calculated total energy**: -22.39 eV/cell
**Space-group type**: No. 164
**DFT formation energy**: -0.2285 eV/atom